Entry from Alexandria: an optimized crystal structure of Cs2YTiCo (GGA-PBE).

a b c (Å): 5.898 5.898 5.357
angles (deg): 90.00 90.00 90.00
Atoms (fractional coordinates):
Cs1 0.000 0.500 0.000
Cs2 0.500 0.000 0.000
Y1 0.000 0.000 0.500
Ti1 0.500 0.500 0.500
Co1 0.000 0.000 0.000

## Properties
crystal system = tetragonal
volume = 37.3 Å³ per atom
ΔH_f (0 K) = 1.446 eV per atom

***

Entry from Alexandria: an optimized crystal structure of CsTl3Co (GGA-PBE).

a b c (Å): 6.571 6.571 6.571
angles (deg): 90.00 90.00 90.00
Atoms (fractional coordinates):
Cs1 0.000 0.000 0.000
Tl1 0.000 0.000 0.500
Tl2 0.000 0.500 0.000
Tl3 0.500 0.000 0.000
Co1 0.500 0.500 0.500

## Properties
crystal system = cubic
volume = 56.7 Å³ per atom
ΔH_f (0 K) = 1.527 eV per atom
distance to the lowest polymorph of the same formula = 1410 meV/atom

***

Entry from Alexandria: an optimized crystal structure of Cs2Tl2Co (GGA-PBE).

a b c (Å): 7.373 7.373 6.781
angles (deg): 90.00 90.00 90.00
Atoms (fractional coordinates):
Cs1 0.174 0.326 0.000
Cs2 0.326 0.826 0.000
Cs3 0.674 0.174 0.000
Cs4 0.826 0.674 0.000
Tl1 0.204 0.704 0.500
Tl2 0.296 0.204 0.500
Tl3 0.704 0.796 0.500
Tl4 0.796 0.296 0.500
Co1 0.000 0.000 0.500
Co2 0.500 0.500 0.500

## Properties
crystal system = tetragonal
volume = 36.9 Å³ per atom
ΔH_f (0 K) = 0.420 eV per atom

***

Entry from Alexandria: an optimized crystal structure of CsTl3Co (GGA-PBE).

a b c (Å): 5.304 5.304 5.304
angles (deg): 90.00 90.00 90.00
Atoms (fractional coordinates):
Cs1 0.000 0.000 0.000
Tl1 0.000 0.500 0.500
Tl2 0.500 0.000 0.500
Tl3 0.500 0.500 0.000
Co1 0.500 0.500 0.500

## Properties
crystal system = cubic
volume = 29.8 Å³ per atom
ΔH_f (0 K) = 0.118 eV per atom
distance to the lowest polymorph of the same formula = 0 meV/atom

***

Entry from Alexandria: an optimized crystal structure of CsVCo3 (GGA-PBE).

a b c (Å): 4.560 4.560 4.560
angles (deg): 90.00 90.00 90.00
Atoms (fractional coordinates):
Cs1 0.000 0.000 0.000
V1 0.500 0.500 0.500
Co1 0.000 0.500 0.500
Co2 0.500 0.000 0.500
Co3 0.500 0.500 0.000

## Properties
crystal system = cubic
volume = 19.0 Å³ per atom
ΔH_f (0 K) = 1.368 eV per atom
distance to the lowest polymorph of the same formula = 0 meV/atom

***

Entry from Alexandria: an optimized crystal structure of CsVCo3 (GGA-PBE).

a b c (Å): 4.638 4.638 4.638
angles (deg): 90.00 90.00 90.00
Atoms (fractional coordinates):
Cs1 0.000 0.000 0.000
V1 0.500 0.500 0.500
Co1 0.000 0.000 0.500
Co2 0.000 0.500 0.000
Co3 0.500 0.000 0.000

## Properties
crystal system = cubic
volume = 19.9 Å³ per atom
ΔH_f (0 K) = 2.617 eV per atom
distance to the lowest polymorph of the same formula = 1249 meV/atom

***

Entry from Alexandria: an optimized crystal structure of CsZrV2Co (GGA-PBE).

a b c (Å): 4.827 4.827 4.596
angles (deg): 90.00 90.00 90.00
Atoms (fractional coordinates):
Cs1 0.000 0.000 0.000
Zr1 0.500 0.500 0.500
V1 0.000 0.500 0.000
V2 0.500 0.000 0.000
Co1 0.000 0.000 0.500

## Properties
crystal system = tetragonal
volume = 21.4 Å³ per atom
ΔH_f (0 K) = 2.278 eV per atom

***

Entry from Alexandria: an optimized crystal structure of Cs2ZrVCo (GGA-PBE).

a b c (Å): 6.867 6.867 4.762
angles (deg): 90.00 90.00 90.00
Atoms (fractional coordinates):
Cs1 0.000 0.500 0.000
Cs2 0.500 0.000 0.000
Zr1 0.000 0.000 0.500
V1 0.000 0.000 0.000
Co1 0.500 0.500 0.500

## Properties
crystal system = tetragonal
volume = 44.9 Å³ per atom
ΔH_f (0 K) = 1.795 eV per atom

***

Entry from Alexandria: an optimized crystal structure of CsCo2W2 (GGA-PBE).

a b c (Å): 4.173 4.173 15.011
angles (deg): 90.00 90.00 90.00
Atoms (fractional coordinates):
Cs1 0.000 0.000 0.000
Cs2 0.500 0.500 0.500
Co1 0.000 0.000 0.324
Co2 0.000 0.000 0.676
Co3 0.500 0.500 0.176
Co4 0.500 0.500 0.824
W1 0.000 0.500 0.250
W2 0.000 0.500 0.750
W3 0.500 0.000 0.250
W4 0.500 0.000 0.750

## Properties
crystal system = tetragonal
volume = 26.1 Å³ per atom
ΔH_f (0 K) = 0.867 eV per atom
distance to the lowest polymorph of the same formula = 0 meV/atom

***

Entry from Alexandria: an optimized crystal structure of CsCoW2 (GGA-PBE).

a b c (Å): 6.478 6.478 6.478
angles (deg): 90.00 90.00 90.00
Atoms (fractional coordinates):
Cs1 0.000 0.000 0.000
Cs2 0.000 0.500 0.500
Cs3 0.500 0.000 0.500
Cs4 0.500 0.500 0.000
Co1 0.000 0.000 0.500
Co2 0.000 0.500 0.000
Co3 0.500 0.000 0.000
Co4 0.500 0.500 0.500
W1 0.250 0.250 0.250
W2 0.250 0.250 0.750
W3 0.250 0.750 0.250
W4 0.250 0.750 0.750
W5 0.750 0.250 0.250
W6 0.750 0.250 0.750
W7 0.750 0.750 0.250
W8 0.750 0.750 0.750

## Properties
crystal system = cubic
volume = 17.0 Å³ per atom
ΔH_f (0 K) = 2.147 eV per atom
distance to the lowest polymorph of the same formula = 105 meV/atom

***

Entry from Alexandria: an optimized crystal structure of Cs3CoW (GGA-PBE).

a b c (Å): 6.593 6.593 6.593
angles (deg): 90.00 90.00 90.00
Atoms (fractional coordinates):
Cs1 0.000 0.000 0.500
Cs2 0.000 0.500 0.000
Cs3 0.500 0.000 0.000
Co1 0.000 0.000 0.000
W1 0.500 0.500 0.500

## Properties
crystal system = cubic
volume = 57.3 Å³ per atom
ΔH_f (0 K) = 1.861 eV per atom

***

Entry from Alexandria: an optimized crystal structure of CsCo2W2 (GGA-PBE).

a b c (Å): 8.029 8.029 2.819
angles (deg): 90.00 90.00 90.00
Atoms (fractional coordinates):
Cs1 0.000 0.000 0.000
Cs2 0.500 0.500 0.000
Co1 0.160 0.340 0.000
Co2 0.340 0.840 0.000
Co3 0.660 0.160 0.000
Co4 0.840 0.660 0.000
W1 0.111 0.611 0.500
W2 0.389 0.111 0.500
W3 0.611 0.889 0.500
W4 0.889 0.389 0.500

## Properties
crystal system = tetragonal
volume = 18.2 Å³ per atom
ΔH_f (0 K) = 1.159 eV per atom
distance to the lowest polymorph of the same formula = 291 meV/atom

***

| no. | spin magnetization (μB/cell) |
| --- | --- |
| 1 | 0.091 |
| 2 | 1.942 |
| 3 | 0.000 |
| 4 | 0.730 |
| 5 | 0.731 |
| 6 | 5.097 |
| 7 | 3.159 |
| 8 | 3.992 |
| 9 | 0.015 |
| 10 | 0.001 |
| 11 | 4.000 |
| 12 | 0.007 |